Record 1
FeTcHg2: relaxed, PBE.

Output
V in Å³ per atom: 17.27
Spin magnetization in μB per cell: 3.772
Energy relative to the lowest polymorph listed for this composition in meV/atom: 335
Space-group type: No. 119

```
data_FeTcHg2
_chemical_formula_sum 'Fe1 Tc1 Hg2'
_cell_length_a 5.004
_cell_length_b 5.004
_cell_length_c 5.004
_cell_angle_alpha 131.38
_cell_angle_beta 131.38
_cell_angle_gamma 71.22
_space_group_name_H-M_alt 'P 1'
_space_group_IT_number 1
loop_
_space_group_symop_operation_xyz
'x,y,z'
loop_
_atom_site_label
_atom_site_fract_x
_atom_site_fract_y
_atom_site_fract_z
Fe1 0.000 0.000 0.000
Tc1 0.750 0.250 0.500
Hg1 0.250 0.750 0.500
Hg2 0.500 0.500 0.000
```

=====

Record 2
SrCr2Ni: relaxed, PBE.

Output
V in Å³ per atom: 21.43
Spin magnetization in μB per cell: 0.893
Energy relative to the lowest polymorph listed for this composition in meV/atom: 0
Space-group type: No. 160

```
data_SrCr2Ni
_chemical_formula_sum 'Sr1 Cr2 Ni1'
_cell_length_a 6.096
_cell_length_b 6.096
_cell_length_c 6.096
_cell_angle_alpha 40.38
_cell_angle_beta 40.38
_cell_angle_gamma 40.38
_space_group_name_H-M_alt 'P 1'
_space_group_IT_number 1
loop_
_space_group_symop_operation_xyz
'x,y,z'
loop_
_atom_site_label
_atom_site_fract_x
_atom_site_fract_y
_atom_site_fract_z
Sr1 0.000 0.000 0.000
Cr1 0.195 0.195 0.195
Cr2 0.486 0.486 0.486
Ni1 0.807 0.807 0.807
```